1.
Computed, not measured: crystalline Nd2YSb at its relaxed geometry at the GGA-PBE level of DFT.

V (Å³/f.u.): 128.9
SG: No. 63
Energy relative to the elements, uncorrected (kJ per mole of atoms): -55
Total DFT energy (no corrections) (eV per atom): -5.60

Lattice parameters (Å, degrees): 4.184 6.454 10.093 90.00 90.00 108.92
Fractional coordinates of all 8 atoms:
Nd (0.363, 0.725, 0.545)
Nd (0.637, 0.275, 0.455)
Nd (0.363, 0.725, 0.955)
Nd (0.637, 0.275, 0.045)
Y (0.936, 0.872, 0.250)
Y (0.064, 0.128, 0.750)
Sb (0.759, 0.517, 0.750)
Sb (0.241, 0.483, 0.250)

2.
Computed, not measured: crystalline NdY2Sb at its relaxed geometry at the GGA-PBE level of DFT.

V (Å³/f.u.): 119.0
SG: No. 123
Energy relative to the elements, uncorrected (kJ per mole of atoms): -48
Total DFT energy (no corrections) (eV per atom): -5.95

Lattice parameters (Å, degrees): 3.991 3.991 7.472 90.00 90.00 90.00
Fractional coordinates of all 4 atoms:
Y (0.000, 0.000, 0.718)
Y (0.000, 0.000, 0.282)
Sb (0.500, 0.500, 0.500)
Nd (0.500, 0.500, 0.000)

3.
Computed, not measured: crystalline Nd4YSb2 at its relaxed geometry at the GGA-PBE level of DFT.

V (Å³/f.u.): 249.2
SG: No. 139
Energy relative to the elements, uncorrected (kJ per mole of atoms): 12
Total DFT energy (no corrections) (eV per atom): -4.70

Lattice parameters (Å, degrees): 5.406 5.406 9.347 106.81 106.81 90.00
Site moments in Bohr magnetons follow the coordinates.
Fractional coordinates of all 7 atoms:
Nd (0.815, 0.815, 0.631)  0.03
Nd (0.185, 0.185, 0.369)  0.03
Nd (0.000, 0.500, 0.000)  0.07
Nd (0.500, 0.000, 0.000)  0.07
Y (0.000, 0.000, 0.000)  0.20
Sb (0.633, 0.633, 0.266)  0.00
Sb (0.367, 0.367, 0.734)  0.00

4.
Computed, not measured: crystalline NdY2Sb at its relaxed geometry at the GGA-PBE level of DFT.

V (Å³/f.u.): 135.5
SG: No. 160
Energy relative to the elements, uncorrected (kJ per mole of atoms): -36
Total DFT energy (no corrections) (eV per atom): -5.83

Lattice parameters (Å, degrees): 4.037 4.037 9.884 78.22 78.22 60.00
Site moments in Bohr magnetons follow the coordinates.
Fractional coordinates of all 4 atoms:
Nd (0.501, 0.501, 0.498)  0.14
Y (0.066, 0.066, 0.801)  0.10
Y (0.267, 0.267, 0.199)  0.03
Sb (0.666, 0.666, 0.001)  0.00

Please write out number 2 again, unchanged.
Computed, not measured: crystalline NdY2Sb at its relaxed geometry at the GGA-PBE level of DFT.

V (Å³/f.u.): 119.0
SG: No. 123
Energy relative to the elements, uncorrected (kJ per mole of atoms): -48
Total DFT energy (no corrections) (eV per atom): -5.95

Lattice parameters (Å, degrees): 3.991 3.991 7.472 90.00 90.00 90.00
Fractional coordinates of all 4 atoms:
Y (0.000, 0.000, 0.718)
Y (0.000, 0.000, 0.282)
Sb (0.500, 0.500, 0.500)
Nd (0.500, 0.500, 0.000)